First-principles (PBE) data for GdBeO3 after structural relaxation, as listed in OQMD.

Calculated values
calculated total energy = -7.1361 eV/atom
crystal system = trigonal

Cell: 5.0735 5.0735 12.1042 Å, 90.00 90.00 120.00°
Space group R-3c (No. 167, hexagonal axes)
One atom of each set of equivalent atoms:
Gd  0.0000  0.0000  0.2500 (multiplicity 6)
Be  0.0000  0.0000  0.0000 (multiplicity 6)
O  0.0000  0.4688  0.2500 (multiplicity 18)

---

First-principles (PBE) data for NaSmSO after structural relaxation, as listed in OQMD.

Calculated values
energy above the lowest structure with this stoichiometry = 0.175 eV per atom
crystal system = orthorhombic

Cell: 4.339 7.382 6.142 Å, 90.00 90.00 90.00°
Space group Pmc2_1 (No. 26)
One atom of each set of equivalent atoms:
Na  0.000  0.201  0.000 (multiplicity 2)
Sm  0.500  0.355  0.430 (multiplicity 2)
S  0.000  0.173  0.549 (multiplicity 2)
O  0.500  0.376  0.076 (multiplicity 2)

---

First-principles (PBE) data for LiGdGe after structural relaxation, as listed in OQMD.

Calculated values
energy above the lowest structure with this stoichiometry = 0.027 eV per atom
crystal system = hexagonal

Cell: 4.4188 4.4188 7.2283 Å, 90.00 90.00 120.00°
Space group P6_3mc (No. 186)
One atom of each set of equivalent atoms:
Li  0.3333  0.6667  0.0000 (multiplicity 2)
Gd  0.0000  0.0000  0.2271 (multiplicity 2)
Ge  0.3333  0.6667  0.4574 (multiplicity 2)

---

First-principles (PBE) data for Dy3Er3Bi2Os after structural relaxation, as listed in OQMD.

Calculated values
energy above the lowest structure with this stoichiometry = 0.000 eV per atom
crystal system = hexagonal

Cell: 8.2770 8.2770 4.2259 Å, 90.00 90.00 120.00°
Space group P-62m (No. 189)
One atom of each set of equivalent atoms:
Dy  0.0000  0.3879  0.0000 (multiplicity 3)
Er  0.0000  0.7673  0.5000 (multiplicity 3)
Bi  0.3333  0.6667  0.5000 (multiplicity 2)
Os  0.0000  0.0000  0.0000 (multiplicity 1)

---

First-principles (PBE) data for Ba2Zn2SnGe after structural relaxation, as listed in OQMD.

Calculated values
calculated total energy = -3.0000 eV/atom
crystal system = trigonal

Cell: 4.6209 4.6209 9.8908 Å, 90.00 90.00 120.00°
Space group P3m1 (No. 156)
One atom of each set of equivalent atoms:
Ba  0.0000  0.0000  0.0000 (multiplicity 1)
Ba  0.0000  0.0000  0.4858 (multiplicity 1)
Zn  0.3333  0.6667  0.2419 (multiplicity 1)
Zn  0.6667  0.3333  0.7418 (multiplicity 1)
Sn  0.3333  0.6667  0.7428 (multiplicity 1)
Ge  0.6667  0.3333  0.2426 (multiplicity 1)

---

First-principles (PBE) data for ScSnPt2 after structural relaxation, as listed in OQMD.

Calculated values
calculated total energy = -6.2608 eV/atom
crystal system = cubic

Cell: 6.609 6.609 6.609 Å, 90.00 90.00 90.00°
Space group F-43m (No. 216)
One atom of each set of equivalent atoms:
Sc  0.000  0.000  0.000 (multiplicity 4)
Sn  0.250  0.250  0.750 (multiplicity 4)
Pt  0.000  0.000  0.500 (multiplicity 4)
Pt  0.250  0.250  0.250 (multiplicity 4)